Entry 1:
The following is a PBE-GGA calculation of NaDyZnIn after structural relaxation, from Alexandria via LeMat-Bulk.

Summary:
Formation energy from the elements, eV per atom: -0.174
Space-group type: No. 216
Electronic total energy, eV/atom: -2.66

abc: 5.137 5.137 5.137
angles: 60.00 60.00 60.00
Atoms (fractional coordinates):
In  0.500  0.500  0.500
Zn  0.000  0.000  0.000
Dy  0.750  0.750  0.750
Na  0.250  0.250  0.250

***

Entry 2:
The following is a PBE-GGA calculation of DyNbIn2 after structural relaxation, from Alexandria via LeMat-Bulk.

Summary:
Formation energy from the elements, eV per atom: 0.029
Space-group type: No. 166
Electronic total energy, eV/atom: -5.01

abc: 3.232 3.232 10.494
angles: 81.14 81.14 60.00
Atoms (fractional coordinates):
In  0.744  0.744  0.768
In  0.256  0.256  0.232
Nb  0.000  0.000  0.000
Dy  0.500  0.500  0.500

***

Entry 3:
The following is a PBE-GGA calculation of Dy2NbIn after structural relaxation, from Alexandria via LeMat-Bulk.

Summary:
Formation energy from the elements, eV per atom: 0.406
Space-group type: No. 166
Electronic total energy, eV/atom: -5.10

abc: 3.235 3.235 11.562
angles: 81.96 81.96 60.00
Site moments in Bohr magnetons follow the coordinates.
Atoms (fractional coordinates):
Nb  0.000  0.000  0.000  0.58
In  0.500  0.500  0.500  0.00
Dy  0.087  0.087  0.740  0.10
Dy  0.913  0.913  0.260  0.10

***

Entry 4:
The following is a PBE-GGA calculation of DyNbIn after structural relaxation, from Alexandria via LeMat-Bulk.

Summary:
Formation energy from the elements, eV per atom: -0.158
Space-group type: No. 129
Electronic total energy, eV/atom: -5.96

abc: 4.214 4.214 8.249
angles: 90.00 90.00 90.00
Atoms (fractional coordinates):
In  0.500  0.000  0.757
In  0.000  0.500  0.243
Nb  0.500  0.500  0.500
Nb  0.000  0.000  0.500
Dy  0.000  0.500  0.838
Dy  0.500  0.000  0.162

***

Entry 5:
The following is a PBE-GGA calculation of Nd7Dy4In after structural relaxation, from Alexandria via LeMat-Bulk.

Summary:
Formation energy from the elements, eV per atom: 0.035
Space-group type: No. 12
Energy above the most stable polymorph in this dataset, eV/atom: 0.000
Electronic total energy, eV/atom: -4.51

abc: 6.484 8.625 12.258
angles: 65.16 69.16 41.23
Atoms (fractional coordinates):
Dy  0.811  0.707  0.587
Dy  0.270  0.616  0.769
Dy  0.189  0.293  0.413
Dy  0.730  0.384  0.231
Nd  0.737  0.547  0.906
Nd  0.639  0.209  0.583
Nd  0.500  0.000  0.000
Nd  0.121  0.139  0.723
Nd  0.361  0.791  0.417
Nd  0.879  0.861  0.277
Nd  0.263  0.453  0.094
In  0.000  0.000  0.000

***

Entry 6:
The following is a PBE-GGA calculation of NdDy4In2 after structural relaxation, from Alexandria via LeMat-Bulk.

Summary:
Formation energy from the elements, eV per atom: -0.117
Space-group type: No. 69
Energy above the most stable polymorph in this dataset, eV/atom: 0.000
Electronic total energy, eV/atom: -4.21

abc: 10.803 6.833 6.844
angles: 119.95 90.00 90.00
Atoms (fractional coordinates):
Dy  0.833  0.500  0.000
Dy  0.250  0.000  0.500
Dy  0.750  0.000  0.500
Dy  0.250  0.500  0.500
Dy  0.167  0.500  0.000
Dy  0.333  0.000  0.000
Dy  0.750  0.500  0.500
Dy  0.667  0.000  0.000
In  0.500  0.779  0.557
In  0.000  0.279  0.557
In  0.000  0.721  0.443
In  0.500  0.221  0.443
Nd  0.500  0.500  0.000
Nd  0.000  0.000  0.000

***

Entry 7:
The following is a PBE-GGA calculation of Nd2Dy3In after structural relaxation, from Alexandria via LeMat-Bulk.

Summary:
Formation energy from the elements, eV per atom: -0.147
Space-group type: No. 65
Energy above the most stable polymorph in this dataset, eV/atom: 0.000
Electronic total energy, eV/atom: -4.49

abc: 4.936 4.904 8.015
angles: 107.81 90.00 90.00
Atoms (fractional coordinates):
Nd  0.000  0.662  0.324
Nd  0.000  0.338  0.676
Dy  0.500  0.836  0.673
Dy  0.500  0.164  0.327
Dy  0.500  0.500  0.000
In  0.000  0.000  0.000

***

Entry 8:
The following is a PBE-GGA calculation of Nd12Dy6In after structural relaxation, from Alexandria via LeMat-Bulk.

Summary:
Formation energy from the elements, eV per atom: 0.082
Space-group type: No. 166
Energy above the most stable polymorph in this dataset, eV/atom: 0.021
Electronic total energy, eV/atom: -4.53

abc: 8.755 8.755 8.755
angles: 97.94 97.94 97.94
Atoms (fractional coordinates):
Dy  0.864  0.864  0.595
Dy  0.595  0.864  0.864
Dy  0.136  0.136  0.405
Dy  0.864  0.595  0.864
Dy  0.405  0.136  0.136
Dy  0.136  0.405  0.136
Nd  0.741  0.000  0.259
Nd  0.828  0.420  0.420
Nd  0.420  0.420  0.828
Nd  0.580  0.172  0.580
Nd  0.259  0.741  0.000
Nd  0.000  0.259  0.741
Nd  0.000  0.741  0.259
Nd  0.741  0.259  0.000
Nd  0.259  0.000  0.741
Nd  0.420  0.828  0.420
Nd  0.580  0.580  0.172
Nd  0.172  0.580  0.580
In  0.000  0.000  0.000

***

Entry 9:
The following is a PBE-GGA calculation of NdDy4In4 after structural relaxation, from Alexandria via LeMat-Bulk.

Summary:
Formation energy from the elements, eV per atom: -0.175
Space-group type: No. 137
Electronic total energy, eV/atom: -3.97

abc: 7.265 7.265 10.576
angles: 90.00 90.00 90.00
Atoms (fractional coordinates):
Dy  0.732  0.000  0.589
Dy  0.000  0.268  0.411
Dy  0.500  0.768  0.089
Dy  0.500  0.232  0.089
Dy  0.232  0.500  0.911
Dy  0.768  0.500  0.911
Dy  0.000  0.732  0.411
Dy  0.268  0.000  0.589
In  0.713  0.000  0.291
In  0.287  0.000  0.291
In  0.787  0.500  0.209
In  0.500  0.787  0.791
In  0.213  0.500  0.209
In  0.000  0.713  0.709
In  0.500  0.213  0.791
In  0.000  0.287  0.709
Nd  0.500  0.500  0.500
Nd  0.000  0.000  0.000

***

Entry 10:
The following is a PBE-GGA calculation of Nd3DyIn12 after structural relaxation, from Alexandria via LeMat-Bulk.

Summary:
Formation energy from the elements, eV per atom: -0.451
Space-group type: No. 123
Electronic total energy, eV/atom: -3.69

abc: 4.695 4.695 18.848
angles: 90.00 90.00 90.00
Atoms (fractional coordinates):
In  0.000  0.500  0.122
In  0.000  0.500  0.626
In  0.500  0.500  0.249
In  0.500  0.000  0.626
In  0.500  0.000  0.374
In  0.500  0.500  0.500
In  0.000  0.500  0.878
In  0.500  0.000  0.878
In  0.500  0.500  0.751
In  0.000  0.500  0.374
In  0.500  0.000  0.122
In  0.500  0.500  0.000
Dy  0.000  0.000  0.000
Nd  0.000  0.000  0.500
Nd  0.000  0.000  0.248
Nd  0.000  0.000  0.752

***

Entry 11:
The following is a PBE-GGA calculation of Nd12Dy3In after structural relaxation, from Alexandria via LeMat-Bulk.

Summary:
Formation energy from the elements, eV per atom: -0.050
Space-group type: No. 123
Electronic total energy, eV/atom: -4.66

abc: 5.093 5.093 20.661
angles: 90.00 90.00 90.00
Atoms (fractional coordinates):
Nd  0.000  0.500  0.626
Nd  0.000  0.500  0.879
Nd  0.000  0.500  0.121
Nd  0.500  0.500  0.500
Nd  0.500  0.500  0.753
Nd  0.500  0.000  0.626
Nd  0.500  0.000  0.121
Nd  0.500  0.000  0.374
Nd  0.500  0.500  0.000
Nd  0.500  0.500  0.247
Nd  0.000  0.500  0.374
Nd  0.500  0.000  0.879
In  0.000  0.000  0.000
Dy  0.000  0.000  0.752
Dy  0.000  0.000  0.248
Dy  0.000  0.000  0.500

***

Entry 12:
The following is a PBE-GGA calculation of Nd5Dy8In after structural relaxation, from Alexandria via LeMat-Bulk.

Summary:
Formation energy from the elements, eV per atom: 0.085
Space-group type: No. 1
Electronic total energy, eV/atom: -4.44

abc: 8.552 8.450 8.555
angles: 114.63 99.15 115.90
Atoms (fractional coordinates):
Nd  0.820  0.705  0.678
Nd  0.885  0.959  0.256
Nd  0.620  0.036  0.594
Nd  0.285  0.032  0.930
Nd  0.972  0.289  0.110
Dy  0.521  0.782  0.862
Dy  0.109  0.220  0.750
Dy  0.201  0.707  0.064
Dy  0.479  0.559  0.252
Dy  0.356  0.285  0.488
Dy  0.642  0.208  0.292
Dy  0.677  0.445  0.941
Dy  0.109  0.791  0.442
In  0.073  0.483  0.590

***

Entry 13:
The following is a PBE-GGA calculation of NdDy3In after structural relaxation, from Alexandria via LeMat-Bulk.

Summary:
Formation energy from the elements, eV per atom: -0.181
Space-group type: No. 12
Energy above the most stable polymorph in this dataset, eV/atom: 0.000
Electronic total energy, eV/atom: -4.44

abc: 5.232 6.961 8.770
angles: 88.86 107.35 90.00
Atoms (fractional coordinates):
Dy  0.795  0.251  0.590
Dy  0.996  0.755  0.992
Dy  0.205  0.749  0.410
Dy  0.611  0.001  0.221
Dy  0.004  0.245  0.008
Dy  0.389  0.999  0.779
Nd  0.608  0.510  0.217
Nd  0.392  0.490  0.783
In  0.803  0.759  0.606
In  0.197  0.241  0.394

***

Entry 14:
The following is a PBE-GGA calculation of Nd3Dy8In after structural relaxation, from Alexandria via LeMat-Bulk.

Summary:
Formation energy from the elements, eV per atom: 0.491
Space-group type: No. 121
Electronic total energy, eV/atom: -4.00

abc: 8.330 8.330 8.330
angles: 94.85 117.24 117.24
Atoms (fractional coordinates):
Dy  0.000  0.623  0.875
Dy  0.252  0.377  0.377
Dy  0.000  0.875  0.623
Dy  0.000  0.240  0.739
Dy  0.748  0.125  0.125
Dy  0.501  0.261  0.261
Dy  0.499  0.760  0.760
Dy  0.000  0.739  0.240
Nd  0.000  0.500  0.500
Nd  0.500  0.750  0.250
Nd  0.500  0.250  0.750
In  0.000  0.000  0.000

***

Entry 15:
The following is a PBE-GGA calculation of NdDyIn2 after structural relaxation, from Alexandria via LeMat-Bulk.

Summary:
Formation energy from the elements, eV per atom: -0.485
Space-group type: No. 123
Electronic total energy, eV/atom: -4.20

abc: 3.818 3.818 7.629
angles: 90.00 90.00 90.00
Atoms (fractional coordinates):
Dy  0.500  0.500  0.000
Nd  0.500  0.500  0.500
In  0.000  0.000  0.238
In  0.000  0.000  0.762

***

Entry 16:
The following is a PBE-GGA calculation of Nd12DyIn6 after structural relaxation, from Alexandria via LeMat-Bulk.

Summary:
Formation energy from the elements, eV per atom: -0.238
Space-group type: No. 148
Electronic total energy, eV/atom: -4.36

abc: 8.387 8.387 8.387
angles: 89.12 89.12 89.12
Atoms (fractional coordinates):
Nd  0.435  0.809  0.527
Nd  0.876  0.617  0.927
Nd  0.383  0.073  0.124
Nd  0.927  0.876  0.617
Nd  0.124  0.383  0.073
Nd  0.527  0.435  0.809
Nd  0.809  0.527  0.435
Nd  0.073  0.124  0.383
Nd  0.191  0.473  0.565
Nd  0.617  0.927  0.876
Nd  0.473  0.565  0.191
Nd  0.565  0.191  0.473
In  0.271  0.122  0.744
In  0.744  0.271  0.122
In  0.878  0.256  0.729
In  0.256  0.729  0.878
In  0.729  0.878  0.256
In  0.122  0.744  0.271
Dy  0.000  0.000  0.000

***

Entry 17:
The following is a PBE-GGA calculation of Nd6Dy5In after structural relaxation, from Alexandria via LeMat-Bulk.

Summary:
Formation energy from the elements, eV per atom: -0.058
Space-group type: No. 71
Electronic total energy, eV/atom: -4.59

abc: 5.048 9.501 9.501
angles: 107.53 105.40 105.40
Atoms (fractional coordinates):
Dy  0.000  0.664  0.336
Dy  0.000  0.336  0.664
Dy  0.500  0.500  0.500
Dy  0.500  0.167  0.833
Dy  0.500  0.833  0.167
Nd  0.245  0.080  0.411
Nd  0.755  0.589  0.920
Nd  0.255  0.755  0.755
Nd  0.755  0.920  0.589
Nd  0.745  0.245  0.245
Nd  0.245  0.411  0.080
In  0.000  0.000  0.000

***

Entry 18:
The following is a PBE-GGA calculation of Nd4Dy15In after structural relaxation, from Alexandria via LeMat-Bulk.

Summary:
Formation energy from the elements, eV per atom: -0.030
Space-group type: No. 123
Electronic total energy, eV/atom: -4.57

abc: 4.998 4.998 25.287
angles: 90.00 90.00 90.00
Atoms (fractional coordinates):
Dy  0.000  0.500  0.095
Dy  0.000  0.500  0.905
Dy  0.500  0.000  0.095
Dy  0.500  0.500  0.398
Dy  0.000  0.500  0.500
Dy  0.500  0.000  0.905
Dy  0.000  0.500  0.298
Dy  0.500  0.500  0.194
Dy  0.500  0.000  0.500
Dy  0.500  0.000  0.298
Dy  0.500  0.500  0.000
Dy  0.500  0.500  0.806
Dy  0.000  0.500  0.702
Dy  0.500  0.000  0.702
Dy  0.500  0.500  0.602
In  0.000  0.000  0.000
Nd  0.000  0.000  0.601
Nd  0.000  0.000  0.803
Nd  0.000  0.000  0.197
Nd  0.000  0.000  0.399

***

Entry 19:
The following is a PBE-GGA calculation of Nd6DyIn4 after structural relaxation, from Alexandria via LeMat-Bulk.

Summary:
Formation energy from the elements, eV per atom: -0.129
Space-group type: No. 121
Electronic total energy, eV/atom: -4.14

abc: 8.244 8.244 8.244
angles: 85.73 122.50 122.50
Atoms (fractional coordinates):
Nd  0.000  0.528  0.907
Nd  0.621  0.093  0.093
Nd  0.000  0.907  0.528
Nd  0.379  0.472  0.472
Nd  0.500  0.000  0.500
Nd  0.500  0.500  0.000
In  0.321  0.726  0.726
In  0.000  0.274  0.594
In  0.679  0.406  0.406
In  0.000  0.594  0.274
Dy  0.000  0.000  0.000

***

Entry 20:
The following is a PBE-GGA calculation of NdDyIn4 after structural relaxation, from Alexandria via LeMat-Bulk.

Summary:
Formation energy from the elements, eV per atom: -0.375
Space-group type: No. 216
Energy above the most stable polymorph in this dataset, eV/atom: 0.000
Electronic total energy, eV/atom: -3.76

abc: 6.043 6.043 6.043
angles: 60.00 60.00 60.00
Atoms (fractional coordinates):
Nd  0.250  0.250  0.250
In  0.625  0.625  0.125
In  0.625  0.125  0.625
In  0.625  0.625  0.625
In  0.125  0.625  0.625
Dy  0.000  0.000  0.000

***

Entry 21:
The following is a PBE-GGA calculation of Nd2Dy3In after structural relaxation, from Alexandria via LeMat-Bulk.

Summary:
Formation energy from the elements, eV per atom: -0.136
Space-group type: No. 74
Energy above the most stable polymorph in this dataset, eV/atom: 0.011
Electronic total energy, eV/atom: -4.48

abc: 5.156 9.435 9.435
angles: 111.07 105.86 105.86
Atoms (fractional coordinates):
In  0.250  0.605  0.395
In  0.750  0.395  0.605
Dy  0.457  0.628  0.786
Dy  0.500  0.000  0.500
Dy  0.000  0.500  0.000
Dy  0.043  0.214  0.372
Dy  0.957  0.786  0.628
Dy  0.543  0.372  0.214
Nd  0.250  0.926  0.074
Nd  0.750  0.775  0.225
Nd  0.750  0.074  0.926
Nd  0.250  0.225  0.775

***

Number 1: DOS(E_F) 1.71 states/eV/f.u.. Number 2: DOS(E_F) 3.54 states/eV/f.u.. Number 3: DOS(E_F) 5.61 states/eV/f.u.. Number 4: DOS(E_F) 1.50 states/eV/f.u.. Number 5: DOS(E_F) 18.39 states/eV/f.u.. Number 6: DOS(E_F) 10.82 states/eV/f.u.. Number 7: DOS(E_F) 7.16 states/eV/f.u.. Number 8: DOS(E_F) 27.51 states/eV/f.u.. Number 9: DOS(E_F) 6.37 states/eV/f.u.. Number 10: DOS(E_F) 10.11 states/eV/f.u.. Number 11: DOS(E_F) 22.13 states/eV/f.u.. Number 12: DOS(E_F) 20.04 states/eV/f.u.. Number 13: DOS(E_F) 6.84 states/eV/f.u.. Number 14: DOS(E_F) 18.35 states/eV/f.u.. Number 15: DOS(E_F) 2.20 states/eV/f.u.. Number 16: DOS(E_F) 19.23 states/eV/f.u.. Number 17: DOS(E_F) 15.76 states/eV/f.u.. Number 18: DOS(E_F) 24.06 states/eV/f.u.. Number 19: DOS(E_F) 13.82 states/eV/f.u.. Number 20: DOS(E_F) 4.26 states/eV/f.u.. Number 21: DOS(E_F) 7.34 states/eV/f.u..